CeEr6Sc: optimized geometry, GGA-PBE.

Properties
- total magnetization (μB per formula unit) = 1.75
- crystal system = triclinic
- polymorph energy (0 for the lowest one) (meV per atom) = 75
- SG = P-1

Cell lengths 6.709, 6.344, 6.790 Å; angles 102.07, 59.75, 91.32 degrees
Atoms (fractional coordinates):
Sc1 0.000 0.000 0.000
Er1 0.433 0.230 0.470
Er2 0.560 0.753 0.006
Er3 0.567 0.770 0.530
Er4 0.094 0.738 0.491
Er5 0.906 0.262 0.509
Er6 0.440 0.247 0.994
Ce1 0.000 0.500 0.000